Entry from the Alexandria database: an optimized crystal structure of Li2ZnSi (PBE).

Cell: 4.3163 4.3163 7.7116 Å, 90.00 90.00 120.00°
Closest atoms and distances in Å follow each position.
Sites, in units of the cell vectors:
Li 0.0000 0.0000 0.7536  3 Si 2.49, 3 Zn 2.76
Li 0.0000 0.0000 0.2464  3 Si 2.49, 3 Zn 2.76
Li 0.6667 0.3333 0.4192  1 Zn 2.52, 1 Si 2.65, 3 Li 2.79
Li 0.3333 0.6667 0.5808  1 Zn 2.52, 1 Si 2.65, 3 Li 2.79
Zn 0.6667 0.3333 0.0927  4 Li 2.52-2.76, 4 Si 2.55-2.73
Zn 0.3333 0.6667 0.9073  4 Li 2.52-2.76, 4 Si 2.55-2.73
Si 0.6667 0.3333 0.7623  4 Li 2.49-2.65, 4 Zn 2.55-2.73
Si 0.3333 0.6667 0.2377  4 Li 2.49-2.65, 4 Zn 2.55-2.73

## Properties
Its uncorrected formation energy is -0.18 eV per atom.